Record 1
VASP calculation (PBE) on crystalline Ni2Ge at its relaxed geometry. Values from VASP.

Structure (Quantum ESPRESSO input):
```
&SYSTEM
  ibrav = 0, nat = 6, ntyp = 2
/
ATOMIC_SPECIES
Ni 58.69 Ni.upf
Ge 72.64 Ge.upf
CELL_PARAMETERS angstrom
0.000 3.372 3.372
3.372 0.000 3.372
3.372 3.372 0.000
ATOMIC_POSITIONS angstrom
Ni 0.000 0.000 0.000
Ni 1.686 1.686 0.000
Ni 1.686 0.000 1.686
Ni 0.000 1.686 1.686
Ge 2.529 2.529 2.529
Ge 4.215 4.215 4.215
```

Computed properties:
The space group is Fd-3m, No. 227. For the formation energy, the calculation gives 0.04 eV/atom. The final energy is -5.35 eV per atom.

Record 2
VASP calculation (PBE) on crystalline Ni3Ge2 at its relaxed geometry. Values from VASP.

Structure (Quantum ESPRESSO input):
```
&SYSTEM
  ibrav = 0, nat = 5, ntyp = 2
/
ATOMIC_SPECIES
Ni 58.69 Ni.upf
Ge 72.64 Ge.upf
CELL_PARAMETERS angstrom
3.903 -1.732 0.000
3.903 1.732 0.000
-3.847 0.000 4.619
ATOMIC_POSITIONS angstrom
Ni 0.000 0.000 0.000
Ni 0.863 0.000 2.888
Ni 3.096 0.000 1.731
Ge -1.418 0.000 3.561
Ge 5.378 0.000 1.057
```

Computed properties:
The space group is C2/m, No. 12. For the formation energy, the calculation gives -0.19 eV/atom. The final energy is -5.50 eV per atom.

Record 3
VASP calculation (PBE) on crystalline Ni2Ge at its relaxed geometry. Values from VASP.

Structure (Quantum ESPRESSO input):
```
&SYSTEM
  ibrav = 0, nat = 3, ntyp = 2
/
ATOMIC_SPECIES
Ni 58.69 Ni.upf
Ge 72.64 Ge.upf
CELL_PARAMETERS angstrom
3.930 0.000 0.000
-1.965 3.403 0.000
0.000 0.000 2.736
ATOMIC_POSITIONS angstrom
Ni 0.000 2.269 0.727
Ni 1.965 1.134 2.010
Ge 0.000 0.000 0.000
```

Computed properties:
The space group is P-3m1, No. 164. For the formation energy, the calculation gives -0.21 eV/atom. The final energy is -5.61 eV per atom.

Record 4
VASP calculation (PBE) on crystalline Ni3Ge at its relaxed geometry. Values from VASP.

Structure (Quantum ESPRESSO input):
```
&SYSTEM
  ibrav = 0, nat = 8, ntyp = 2
/
ATOMIC_SPECIES
Ni 58.69 Ni.upf
Ge 72.64 Ge.upf
CELL_PARAMETERS angstrom
3.118 1.800 2.995
-3.118 1.800 2.995
0.000 -3.600 2.995
ATOMIC_POSITIONS angstrom
Ni 0.000 -1.439 3.501
Ni -1.246 0.720 3.501
Ni -1.246 -0.720 5.483
Ni 1.246 0.720 3.501
Ni 1.246 -0.720 5.483
Ni 0.000 1.439 5.483
Ge 0.000 0.000 1.505
Ge 0.000 0.000 7.479
```

Computed properties:
The space group is R-3m, No. 166. For the formation energy, the calculation gives 0.08 eV/atom. The final energy is -5.41 eV per atom.

Record 5
VASP calculation (PBE) on crystalline Ni3Ge2 at its relaxed geometry. Values from VASP.

Structure (Quantum ESPRESSO input):
```
&SYSTEM
  ibrav = 0, nat = 10, ntyp = 2
/
ATOMIC_SPECIES
Ni 58.69 Ni.upf
Ge 72.64 Ge.upf
CELL_PARAMETERS angstrom
-2.977 4.789 2.326
2.977 -4.789 2.326
2.977 4.789 -2.326
ATOMIC_POSITIONS angstrom
Ni 3.834 0.900 0.000
Ni 0.000 0.000 1.163
Ni 0.857 3.889 0.000
Ni 2.120 0.900 2.326
Ni 0.000 0.000 3.489
Ni -0.857 3.889 2.326
Ge 1.497 1.554 0.000
Ge 1.497 -1.554 2.326
Ge 1.480 6.343 0.000
Ge 1.480 3.235 2.326
```

Computed properties:
The space group is Ibam, No. 72. For the formation energy, the calculation gives -0.20 eV/atom. The final energy is -5.51 eV per atom.

Record 6
VASP calculation (PBE) on crystalline Np2Ni5Ge3 at its relaxed geometry. Values from VASP.

Structure (Quantum ESPRESSO input):
```
&SYSTEM
  ibrav = 0, nat = 20, ntyp = 3
/
ATOMIC_SPECIES
Np 237.00 Np.upf
Ni 58.69 Ni.upf
Ge 72.64 Ge.upf
CELL_PARAMETERS angstrom
2.020 -11.321 0.000
2.020 11.321 0.000
0.000 0.000 6.751
ATOMIC_POSITIONS angstrom
Np 2.020 11.295 3.375
Np 2.020 3.810 3.227
Np 2.020 -3.810 6.603
Np 2.020 -11.295 0.000
Ni 2.020 8.597 2.090
Ni 2.020 6.674 4.008
Ni 2.020 6.104 1.431
Ni 2.020 2.875 0.210
Ni 2.020 1.010 1.917
Ni 2.020 -1.010 5.292
Ni 2.020 -2.875 3.585
Ni 2.020 -6.104 4.807
Ni 2.020 -6.674 0.632
Ni 2.020 -8.597 5.466
Ge 2.020 8.839 4.946
Ge 2.020 5.110 6.045
Ge 2.020 1.477 4.943
Ge 2.020 -1.477 1.567
Ge 2.020 -5.110 2.669
Ge 2.020 -8.839 1.570
```

Computed properties:
The space group is Cmc2_1, No. 36. For the formation energy, the calculation gives -0.26 eV/atom. The final energy is -7.13 eV per atom. As for the energy above the most stable polymorph in this dataset: 6 meV/atom.

- formation energy of number 4 (Ni3Ge)?
  0.08 eV/atom

- Among the records above, which one has the lowest formation energy?
  Np2Ni5Ge3